Entry from Alexandria via LeMat-Bulk: crystalline GaIr2C at its relaxed geometry (GGA-PBE).

Properties
volume	223.8	Å³/cell
VASP energy	-7.3859	eV/atom
total moment	0.00	μB per formula unit
formation enthalpy at 0 K	0.11	eV/atom
offset from the most stable computed form	0.23	eV per formula unit

Structure (extended XYZ):
```
16
Lattice="2.844 0.000 0.000 0.000 8.121 0.000 0.000 0.000 9.689" Properties=species:S:1:pos:R:3 pbc="T T T"
C 0.000 4.767 8.127
C 0.000 3.355 8.127
C 0.000 0.706 3.282
C 0.000 7.415 3.282
Ir 0.000 6.003 6.545
Ir 0.000 2.118 6.545
Ir 0.000 1.942 1.701
Ir 0.000 6.179 1.701
Ir 1.422 2.191 9.025
Ir 1.422 5.931 9.025
Ir 1.422 6.251 4.180
Ir 1.422 1.870 4.180
Ga 0.000 0.000 9.672
Ga 0.000 4.061 4.828
Ga 1.422 0.000 6.168
Ga 1.422 4.061 1.323
```